one:
DFT (PBE) results for crystalline PmScAu at its relaxed geometry.

Space group ... R-3m

Cell lengths 4.7051, 4.7051, 9.1084 Å; angles 75.03, 75.03, 60.00 degrees
Last column: nearest neighbours and their distance in Å.
Atoms (fractional coordinates):
Pm: 0.1213 0.1213 0.6361  3 Au 3.01
Pm: 0.8787 0.8787 0.3639  3 Au 3.01
Sc: 0.6305 0.6305 0.1085  4 Au 2.80-2.87
Sc: 0.3695 0.3695 0.8915  4 Au 2.80-2.87
Au: 0.7380 0.7380 0.7859  4 Sc 2.80-2.87, 3 Pm 3.01
Au: 0.2620 0.2620 0.2141  4 Sc 2.80-2.87, 3 Pm 3.01

two:
DFT (PBE) results for crystalline PmScAu at its relaxed geometry.

Space group ... F-43m

Cell lengths 4.9069, 4.9069, 4.9069 Å; angles 60.00, 60.00, 60.00 degrees
Last column: nearest neighbours and their distance in Å.
Atoms (fractional coordinates):
Sc: 0.0000 0.0000 0.0000  4 Au 3.00
Au: 0.2500 0.2500 0.2500  4 Sc 3.00, 4 Pm 3.00
Pm: 0.5000 0.5000 0.5000  4 Au 3.00

three:
DFT (PBE) results for crystalline PmScAu at its relaxed geometry.

Space group ... Amm2

Cell lengths 7.3248, 8.8132, 8.8132 Å; angles 67.08, 65.45, 65.45 degrees
Last column: nearest neighbours and their distance in Å.
Atoms (fractional coordinates):
Pm: 0.1615 0.0461 0.5462  5 Au 2.99-3.30
Pm: 0.7538 0.9538 0.4538  5 Au 2.99-3.30
Pm: 0.3455 0.7500 0.2500  5 Au 2.99-3.30
Pm: 0.3454 0.2500 0.7500  5 Au 2.99-3.30
Pm: 0.7538 0.4538 0.9538  5 Au 2.99-3.30
Pm: 0.1615 0.5462 0.0462  5 Au 2.99-3.30
Sc: 0.0088 0.0000 0.0000  4 Au 2.78-3.07
Sc: 0.0088 0.5000 0.5000  4 Au 2.78-3.07
Sc: 0.7529 0.3724 0.3725  4 Au 2.77-3.07
Sc: 0.4978 0.6276 0.6275  4 Au 2.77-3.07
Sc: 0.4978 0.1275 0.1276  4 Au 2.77-3.07
Sc: 0.7529 0.8725 0.8724  4 Au 2.77-3.07
Au: 0.7539 0.2500 0.7500  3 Pm 2.99, 6 Sc 3.07
Au: 0.7539 0.7500 0.2500  3 Pm 2.99, 6 Sc 3.07
Au: 0.0859 0.1669 0.1670  3 Sc 2.77-2.78
Au: 0.4197 0.8331 0.8330  3 Sc 2.77-2.78
Au: 0.4197 0.3330 0.3331  3 Sc 2.77-2.78
Au: 0.0859 0.6670 0.6669  3 Sc 2.77-2.78

Which structure is most stable? three, by 200 meV per atom over the runner-up.

one:
DFT (PBE) results for crystalline PmScAu2 at its relaxed geometry.

Space group ... Fm-3m

Cell lengths 5.0409, 5.0409, 5.0409 Å; angles 60.00, 60.00, 60.00 degrees
Last column: nearest neighbours and their distance in Å.
Atoms (fractional coordinates):
Sc: 0.5000 0.5000 0.5000  8 Au 3.09
Au: 0.2500 0.2500 0.2500  4 Pm 3.09, 4 Sc 3.09
Au: 0.7500 0.7500 0.7500  4 Sc 3.09, 4 Pm 3.09
Pm: 0.0000 0.0000 0.0000  8 Au 3.09

two:
DFT (PBE) results for crystalline PmScAu2 at its relaxed geometry.

Space group ... P4/mmm

Cell lengths 3.4969, 3.4969, 7.2714 Å; angles 90.00, 90.00, 90.00 degrees
Last column: nearest neighbours and their distance in Å.
Atoms (fractional coordinates):
Sc: 0.5000 0.5000 0.0000  8 Au 2.92
Au: 0.0000 0.0000 0.7852  4 Sc 2.92, 1 Au 3.12, 4 Pm 3.23
Au: 0.0000 0.0000 0.2148  4 Sc 2.92, 1 Au 3.12, 4 Pm 3.23
Pm: 0.5000 0.5000 0.5000  8 Au 3.23, 4 Pm 3.50

Which structure is most stable? two, by 44 meV per atom over the runner-up.

one:
DFT (PBE) results for crystalline Pm2ScAu at its relaxed geometry.

Space group ... R3m

Cell lengths 3.6436, 3.6436, 10.1871 Å; angles 79.70, 79.70, 60.00 degrees
Last column: nearest neighbours and their distance in Å.
Atoms (fractional coordinates):
Pm: 0.0760 0.0760 0.7719  3 Au 3.09, 3 Sc 3.42
Pm: 0.2575 0.2575 0.2275  3 Au 3.10, 3 Sc 3.45
Sc: 0.4994 0.4994 0.5018  6 Pm 3.42-3.45, 6 Sc 3.64
Au: 0.6671 0.6671 0.9988  6 Pm 3.09-3.10

two:
DFT (PBE) results for crystalline Pm2ScAu at its relaxed geometry.

Space group ... R-3m

Cell lengths 3.4620, 3.4620, 11.4459 Å; angles 81.30, 81.30, 60.00 degrees
Last column: nearest neighbours and their distance in Å.
Atoms (fractional coordinates):
Sc: 0.5000 0.5000 0.5000  6 Pm 3.40, 6 Sc 3.46
Au: 0.0000 0.0000 0.0000  2 Pm 2.89
Pm: 0.0854 0.0854 0.7437  1 Au 2.89
Pm: 0.9146 0.9146 0.2563  1 Au 2.89

three:
DFT (PBE) results for crystalline Pm2ScAu at its relaxed geometry.

Space group ... P4/mmm

Cell lengths 3.7567, 3.7567, 7.7184 Å; angles 90.00, 90.00, 90.00 degrees
Last column: nearest neighbours and their distance in Å.
Atoms (fractional coordinates):
Sc: 0.5000 0.5000 0.5000  8 Pm 3.38, 4 Sc 3.76
Au: 0.5000 0.5000 0.0000  8 Pm 3.19
Pm: 0.0000 0.0000 0.7712  4 Au 3.19, 4 Sc 3.38, 1 Pm 3.53
Pm: 0.0000 0.0000 0.2288  4 Au 3.19, 4 Sc 3.38, 1 Pm 3.53

Which structure is most stable? three, by 140 meV per atom over the runner-up.